This record from Alexandria describes SrNd2Ho3Te6 after structural relaxation. The functional is PBE-GGA.

Unit cell a=9.997 b=9.997 c=8.972 alpha=104.03 beta=104.03 gamma=25.56
Element x y z (fractional)
Sr 0.000 0.000 0.000
Nd 0.327 0.327 0.653
Nd 0.673 0.673 0.347
Ho 0.000 0.000 0.500
Ho 0.333 0.333 0.176
Ho 0.667 0.667 0.824
Te 0.161 0.161 0.590
Te 0.171 0.171 0.076
Te 0.499 0.499 0.262
Te 0.501 0.501 0.738
Te 0.829 0.829 0.924
Te 0.839 0.839 0.410

Output
E_form (uncorrected)	-1384	meV per atom
space group	No. 12
total DFT energy (no corrections)	-60.414	eV/cell



This record from Alexandria describes Sr3Nd2HoTe6 after structural relaxation. The functional is PBE-GGA.

Unit cell a=7.857 b=7.857 c=8.044 alpha=99.40 beta=99.40 gamma=119.92
Element x y z (fractional)
Sr 0.000 0.000 0.000
Sr 0.330 0.670 0.000
Sr 0.670 0.330 0.000
Nd 0.165 0.835 0.500
Nd 0.835 0.165 0.500
Ho 0.500 0.500 0.500
Te 0.097 0.422 0.264
Te 0.255 0.255 0.739
Te 0.422 0.097 0.264
Te 0.578 0.903 0.736
Te 0.745 0.745 0.261
Te 0.903 0.578 0.736

Output
E_form (uncorrected)	-1527	meV per atom
space group	No. 12
total DFT energy (no corrections)	-56.336	eV/cell



This record from Alexandria describes Tb12NdHo3 after structural relaxation. The functional is PBE-GGA.

Unit cell a=5.036 b=5.036 c=20.135 alpha=90.00 beta=90.00 gamma=90.00
Element x y z (fractional)
Tb 0.000 0.000 0.000
Tb 0.000 0.000 0.248
Tb 0.000 0.000 0.500
Tb 0.000 0.000 0.752
Tb 0.000 0.500 0.124
Tb 0.000 0.500 0.373
Tb 0.000 0.500 0.627
Tb 0.000 0.500 0.876
Tb 0.500 0.000 0.124
Tb 0.500 0.000 0.373
Tb 0.500 0.000 0.627
Tb 0.500 0.000 0.876
Nd 0.500 0.500 0.500
Ho 0.500 0.500 0.000
Ho 0.500 0.500 0.249
Ho 0.500 0.500 0.751

Output
DFT formation energy	17.7	meV per atom
space group	No. 123
total DFT energy (no corrections)	-73.782	eV/cell



This record from Alexandria describes TbNdHo14 after structural relaxation. The functional is PBE-GGA.

Unit cell a=11.425 b=7.103 c=7.103 alpha=60.03 beta=90.00 gamma=90.00
Element x y z (fractional)
Tb 0.000 0.000 0.000
Nd 0.000 0.500 0.500
Ho 0.000 0.000 0.500
Ho 0.000 0.500 0.000
Ho 0.250 0.167 0.167
Ho 0.252 0.166 0.667
Ho 0.252 0.667 0.166
Ho 0.252 0.667 0.667
Ho 0.500 0.333 0.333
Ho 0.500 0.333 0.834
Ho 0.500 0.833 0.833
Ho 0.500 0.834 0.333
Ho 0.748 0.166 0.667
Ho 0.748 0.667 0.166
Ho 0.748 0.667 0.667
Ho 0.750 0.167 0.167

Output
DFT formation energy	5.9	meV per atom
space group	No. 38
total DFT energy (no corrections)	-73.393	eV/cell



This record from Alexandria describes TbNd6Ho3 after structural relaxation. The functional is PBE-GGA.

Unit cell a=11.129 b=11.129 c=6.372 alpha=90.00 beta=90.00 gamma=120.77
Element x y z (fractional)
Tb 0.196 0.804 0.500
Tb 0.804 0.196 0.000
Nd 0.036 0.964 0.729
Nd 0.058 0.478 0.250
Nd 0.280 0.720 0.963
Nd 0.289 0.372 0.065
Nd 0.372 0.289 0.565
Nd 0.478 0.058 0.750
Nd 0.522 0.942 0.250
Nd 0.628 0.711 0.065
Nd 0.711 0.628 0.565
Nd 0.720 0.280 0.463
Nd 0.942 0.522 0.750
Nd 0.964 0.036 0.229
Ho 0.055 0.285 0.648
Ho 0.285 0.055 0.148
Ho 0.385 0.615 0.530
Ho 0.615 0.385 0.030
Ho 0.715 0.945 0.648
Ho 0.945 0.715 0.148

Output
DFT formation energy	141.7	meV per atom
space group	No. 36
total DFT energy (no corrections)	-91.106	eV/cell



This record from Alexandria describes Tb5Nd2Ho2 after structural relaxation. The functional is PBE-GGA.

Unit cell a=11.022 b=11.022 c=8.226 alpha=99.63 beta=99.63 gamma=18.27
Element x y z (fractional)
Tb 0.000 0.000 0.000
Tb 0.095 0.095 0.735
Tb 0.310 0.310 0.468
Tb 0.690 0.690 0.532
Tb 0.905 0.905 0.265
Nd 0.180 0.180 0.146
Nd 0.820 0.820 0.854
Ho 0.453 0.453 0.644
Ho 0.547 0.547 0.356

Output
DFT formation energy	229.1	meV per atom
space group	No. 12
total DFT energy (no corrections)	-39.780	eV/cell



This record from Alexandria describes Tb4Nd5Ho2 after structural relaxation. The functional is PBE-GGA.

Unit cell a=12.772 b=12.772 c=12.772 alpha=164.11 beta=137.76 gamma=45.40
Element x y z (fractional)
Tb 0.097 0.097 0.000
Tb 0.190 0.500 0.690
Tb 0.810 0.500 0.310
Tb 0.903 0.903 0.000
Nd 0.150 0.352 0.798
Nd 0.446 0.648 0.798
Nd 0.500 0.000 0.500
Nd 0.554 0.352 0.202
Nd 0.850 0.648 0.202
Ho 0.230 0.230 0.000
Ho 0.770 0.770 0.000

Output
DFT formation energy	207.9	meV per atom
space group	No. 71
total DFT energy (no corrections)	-49.228	eV/cell



This record from Alexandria describes Tb6NdHo3 after structural relaxation. The functional is PBE-GGA.

Unit cell a=6.892 b=6.892 c=6.892 alpha=90.88 beta=90.88 gamma=90.88
Element x y z (fractional)
Tb 0.002 0.332 0.665
Tb 0.163 0.832 0.504
Tb 0.332 0.665 0.002
Tb 0.504 0.163 0.832
Tb 0.665 0.002 0.332
Tb 0.832 0.504 0.163
Nd 0.335 0.335 0.335
Ho 0.083 0.083 0.083
Ho 0.589 0.589 0.589
Ho 0.835 0.835 0.835

Output
DFT formation energy	267.7	meV per atom
space group	No. 146
total DFT energy (no corrections)	-43.606	eV/cell



This record from Alexandria describes Tb16Nd7Ho6 after structural relaxation. The functional is PBE-GGA.

Unit cell a=11.228 b=11.228 c=11.228 alpha=60.00 beta=60.00 gamma=60.00
Element x y z (fractional)
Tb 0.048 0.651 0.651
Tb 0.127 0.127 0.127
Tb 0.127 0.127 0.619
Tb 0.127 0.619 0.127
Tb 0.349 0.349 0.349
Tb 0.349 0.349 0.952
Tb 0.349 0.952 0.349
Tb 0.381 0.873 0.873
Tb 0.619 0.127 0.127
Tb 0.651 0.048 0.651
Tb 0.651 0.651 0.048
Tb 0.651 0.651 0.651
Tb 0.873 0.381 0.873
Tb 0.873 0.873 0.381
Tb 0.873 0.873 0.873
Tb 0.952 0.349 0.349
Nd 0.000 0.000 0.000
Nd 0.000 0.000 0.500
Nd 0.000 0.500 0.000
Nd 0.000 0.500 0.500
Nd 0.500 0.000 0.000
Nd 0.500 0.000 0.500
Nd 0.500 0.500 0.000
Ho 0.263 0.263 0.737
Ho 0.263 0.737 0.263
Ho 0.263 0.737 0.737
Ho 0.737 0.263 0.263
Ho 0.737 0.263 0.737
Ho 0.737 0.737 0.263

Output
DFT formation energy	256.2	meV per atom
space group	No. 225
total DFT energy (no corrections)	-127.495	eV/cell



This record from Alexandria describes Tb2Nd6Ho3 after structural relaxation. The functional is PBE-GGA.

Unit cell a=17.326 b=17.326 c=17.326 alpha=164.18 beta=164.18 gamma=22.45
Element x y z (fractional)
Tb 0.045 0.045 0.000
Tb 0.955 0.955 0.000
Nd 0.120 0.620 0.500
Nd 0.204 0.204 0.000
Nd 0.380 0.880 0.500
Nd 0.620 0.120 0.500
Nd 0.796 0.796 0.000
Nd 0.880 0.380 0.500
Ho 0.305 0.305 0.000
Ho 0.500 0.500 0.000
Ho 0.695 0.695 0.000

Output
DFT formation energy	294.5	meV per atom
space group	No. 139
total DFT energy (no corrections)	-48.361	eV/cell



This record from Alexandria describes Tb2NdHo2 after structural relaxation. The functional is PBE-GGA.

Unit cell a=9.375 b=9.375 c=3.733 alpha=90.00 beta=90.00 gamma=90.00
Element x y z (fractional)
Tb 0.126 0.374 0.000
Tb 0.374 0.874 0.000
Tb 0.626 0.126 0.000
Tb 0.874 0.626 0.000
Nd 0.000 0.000 0.000
Nd 0.500 0.500 0.000
Ho 0.171 0.671 0.500
Ho 0.329 0.171 0.500
Ho 0.671 0.829 0.500
Ho 0.829 0.329 0.500

Output
DFT formation energy	83.9	meV per atom
space group	No. 127
total DFT energy (no corrections)	-45.529	eV/cell